1.
NaPm3Pb3 | GGA-PBE | optimized geometry

Cell lengths 7.3249, 7.3249, 8.8433 Å; angles 91.42, 91.42, 111.77 degrees
Sites, in units of the cell vectors:
Pm1 0.2046 0.7954 0.0000
Pm2 0.3264 0.3264 0.5773
Pm3 0.8054 0.1946 0.5000
Pm4 0.1946 0.8054 0.5000
Pm5 0.7954 0.2046 0.0000
Pm6 0.6736 0.6736 0.4227
Pb1 0.5228 0.8380 0.7406
Pb2 0.8380 0.5228 0.7406
Pb3 0.1620 0.4772 0.2594
Pb4 0.4772 0.1620 0.2594
Pb5 0.9943 0.9943 0.7577
Pb6 0.0057 0.0057 0.2423
Na1 0.6831 0.6831 0.0285
Na2 0.3169 0.3169 0.9715

Results
Total moment, μB/f.u.: 0.000
Formation enthalpy at 0 K, eV per formula unit: -2.1
Total DFT energy (no corrections), eV for the cell shown: -57.6

2.
BaCrSCl2 | GGA-PBE | optimized geometry

Cell lengths 5.8487, 5.8487, 6.1153 Å; angles 90.00, 90.00, 90.00 degrees
Last column: magnetic moment on the atom in μB.
Sites, in units of the cell vectors:
S1 0.0000 0.0000 0.5000  -0.52
Cl1 0.5000 0.0000 0.0000  -0.01
Cl2 0.0000 0.5000 0.0000  -0.01
Ba1 0.0000 0.0000 0.0000  -0.01
Cr1 0.5000 0.5000 0.5000  4.37

Results
Total moment, μB/f.u.: 3.994
Uncorrected formation energy, eV/atom: -0.40
Total DFT energy (no corrections), eV for the cell shown: -21.3
E above lowest polymorph, eV/f.u.: 5.397

3.
NaPa2TeO8 | GGA-PBE | optimized geometry

Cell lengths 5.0011, 4.9999, 7.1236 Å; angles 90.00, 89.99, 89.74 degrees
Sites, in units of the cell vectors:
O1 0.3233 0.3227 0.5000
O2 0.3005 0.3005 0.0000
O3 0.8022 0.1979 0.2127
O4 0.6767 0.6773 0.5000
O5 0.8022 0.1979 0.7873
O6 0.6995 0.6995 0.0000
O7 0.1978 0.8021 0.7873
O8 0.1978 0.8021 0.2127
Na1 0.0000 0.0000 0.5000
Pa1 0.5000 0.5000 0.2543
Pa2 0.5000 0.5000 0.7457
Te1 0.0000 0.0000 0.0000

Results
Total moment, μB/f.u.: 0.000
Uncorrected formation energy, eV/atom: -2.55
Total DFT energy (no corrections), eV for the cell shown: -93.7

4.
InFe2Se | GGA-PBE | optimized geometry

Cell lengths 3.4539, 4.7887, 4.0434 Å; angles 90.00, 90.00, 90.00 degrees
Last column: magnetic moment on the atom in μB.
Sites, in units of the cell vectors:
Fe1 0.0000 0.0000 0.0000  2.48
Fe2 0.5000 0.5000 0.0000  2.83
In1 0.5000 0.0000 0.5000  -0.10
Se1 0.0000 0.5000 0.5000  0.10

Results
Total moment, μB/f.u.: 5.318
Uncorrected formation energy, eV/atom: 0.41
Total DFT energy (no corrections), eV for the cell shown: -21.5
E above lowest polymorph, eV/f.u.: 1.335

5.
ErMg4Au2 | GGA-PBE | optimized geometry

Cell lengths 3.6608, 9.1579, 9.1579 Å; angles 90.00, 90.00, 90.00 degrees
Sites, in units of the cell vectors:
Au1 0.5000 0.6827 0.6827
Au2 0.0000 0.8173 0.1827
Au3 0.5000 0.3173 0.3173
Au4 0.0000 0.1827 0.8173
Mg1 0.5000 0.4138 0.8221
Mg2 0.0000 0.9138 0.6779
Mg3 0.0000 0.3221 0.0862
Mg4 0.0000 0.6779 0.9138
Mg5 0.5000 0.8221 0.4138
Mg6 0.5000 0.5862 0.1779
Mg7 0.5000 0.1779 0.5862
Mg8 0.0000 0.0862 0.3221
Er1 0.0000 0.5000 0.5000
Er2 0.5000 0.0000 0.0000

Results
Total moment, μB/f.u.: 0.000
Formation enthalpy at 0 K, eV per formula unit: -3.4
Total DFT energy (no corrections), eV for the cell shown: -41.7

6.
Li3Si6Pt5 | GGA-PBE | optimized geometry

Cell lengths 3.9559, 8.9546, 12.2692 Å; angles 90.00, 90.00, 90.00 degrees
Sites, in units of the cell vectors:
Si1 0.5000 0.4156 0.1849
Si2 0.0000 0.3805 0.5000
Si3 0.5000 0.0096 0.6612
Si4 0.5000 0.6195 0.0000
Si5 0.0000 0.5844 0.3151
Si6 0.5000 0.0096 0.3388
Si7 0.0000 0.0125 0.5000
Si8 0.0000 0.5844 0.6849
Si9 0.5000 0.4156 0.8151
Si10 0.0000 0.9904 0.8388
Si11 0.0000 0.9904 0.1612
Si12 0.5000 0.9875 0.0000
Pt1 0.5000 0.1726 0.5000
Pt2 0.0000 0.5472 0.8821
Pt3 0.0000 0.5472 0.1179
Pt4 0.5000 0.4528 0.3821
Pt5 0.5000 0.1431 0.8384
Pt6 0.0000 0.8274 0.0000
Pt7 0.0000 0.8569 0.3384
Pt8 0.5000 0.1431 0.1616
Pt9 0.0000 0.8569 0.6616
Pt10 0.5000 0.4528 0.6179
Li1 0.5000 0.7222 0.5000
Li2 0.5000 0.7474 0.7999
Li3 0.0000 0.2526 0.7001
Li4 0.0000 0.2526 0.2999
Li5 0.5000 0.7474 0.2001
Li6 0.0000 0.2778 0.0000

Results
Total moment, μB/f.u.: 0.000
Uncorrected formation energy, eV/atom: -0.65
Total DFT energy (no corrections), eV for the cell shown: -155.2

7.
MnAlIn2 | GGA-PBE | optimized geometry

Cell lengths 3.2281, 4.1350, 5.8903 Å; angles 90.00, 90.00, 90.00 degrees
Last column: magnetic moment on the atom in μB.
Sites, in units of the cell vectors:
In1 0.0000 0.0000 0.4938  -0.05
In2 0.0000 0.0000 0.0062  -0.05
Mn1 0.5000 0.5000 0.2500  3.44
Al1 0.5000 0.5000 0.7500  0.00

Results
Total moment, μB/f.u.: 3.435
Formation enthalpy at 0 K, eV per formula unit: 0.9
Total DFT energy (no corrections), eV for the cell shown: -17.4

8.
TmCoGe2Ir | GGA-PBE | optimized geometry

Cell lengths 4.0378, 4.0378, 5.8702 Å; angles 110.12, 110.12, 90.00 degrees
Sites, in units of the cell vectors:
Ge1 0.6217 0.6217 0.2434
Ge2 0.3783 0.3783 0.7566
Tm1 0.0000 0.0000 0.0000
Co1 0.7500 0.2500 0.5000
Ir1 0.2500 0.7500 0.5000

Results
Total moment, μB/f.u.: 0.000
Formation enthalpy at 0 K, eV per formula unit: -3.2
Total DFT energy (no corrections), eV for the cell shown: -32.9

total moment of number 3 (NaPa2TeO8)? 0.000 μB/f.u.

Look up the total DFT energy (no corrections) of the fifth one. -41.7 eV for the cell shown

Which formula does entry 3 have? NaPa2TeO8